In3GaPb3 PBE relaxed; DFT formation energy = 0.461 eV/atom; space group = Pm-3n; raw total energy = -2.734 eV/atom; magnetic moment = 0.00 Bohr magnetons per cell; excess energy over the best structure of this formula in the dataset = 413.5 meV per atom; D(E_F) = 6.214 states/eV/f.u.
1.0
8.349 0.000 0.000
0.000 8.349 0.000
0.000 0.000 8.349
Pb In Ga
6 6 2
Direct
0.500 0.000 0.750
0.000 0.750 0.500
0.000 0.250 0.500
0.250 0.500 0.000
0.500 0.000 0.250
0.750 0.500 0.000
0.500 0.750 0.000
0.500 0.250 0.000
0.250 0.000 0.500
0.000 0.500 0.750
0.750 0.000 0.500
0.000 0.500 0.250
0.500 0.500 0.500
0.000 0.000 0.000